# 1
# PBE PrDyGe2Ir, relaxed
# - E_tot: -127.27 eV/cell
# - Magnetization: 0.0 μB per formula unit
data_PrDyGe2Ir
_chemical_formula_sum 'Pr4 Dy4 Ge8 Ir4'
_cell_length_a 10.711
_cell_length_b 4.364
_cell_length_c 10.481
_cell_angle_alpha 90.00
_cell_angle_beta 116.97
_cell_angle_gamma 90.00
_space_group_name_H-M_alt 'C 1 2/m 1'
_space_group_IT_number 12
loop_
_space_group_symop_operation_xyz
'x,y,z'
'-x,-y,-z'
'-x,y,-z'
'x,-y,z'
'x+1/2,y+1/2,z'
'-x+1/2,-y+1/2,-z'
'-x+1/2,y+1/2,-z'
'x+1/2,-y+1/2,z'
loop_
_atom_site_label
_atom_site_type_symbol
_atom_site_fract_x
_atom_site_fract_y
_atom_site_fract_z
Pr1 Pr 0.193 0.000 0.118
Dy1 Dy 0.011 0.000 0.334
Ge1 Ge 0.014 0.500 0.878
Ge2 Ge 0.147 0.500 0.551
Ir1 Ir 0.232 0.500 0.343


# 2
# PBE Dy2SiGeIr, relaxed
# - E_tot: -131.99 eV/cell
# - Magnetization: 0.0 μB per formula unit
data_Dy2SiGeIr
_chemical_formula_sum 'Dy8 Si4 Ge4 Ir4'
_cell_length_a 10.649
_cell_length_b 4.229
_cell_length_c 10.186
_cell_angle_alpha 90.00
_cell_angle_beta 118.79
_cell_angle_gamma 90.00
_space_group_name_H-M_alt 'C 1 2/m 1'
_space_group_IT_number 12
loop_
_space_group_symop_operation_xyz
'x,y,z'
'-x,-y,-z'
'-x,y,-z'
'x,-y,z'
'x+1/2,y+1/2,z'
'-x+1/2,-y+1/2,-z'
'-x+1/2,y+1/2,-z'
'x+1/2,-y+1/2,z'
loop_
_atom_site_label
_atom_site_type_symbol
_atom_site_fract_x
_atom_site_fract_y
_atom_site_fract_z
Dy1 Dy 0.005 0.000 0.174
Dy2 Dy 0.182 0.000 0.612
Si1 Si 0.143 0.500 0.066
Ge1 Ge 0.020 0.500 0.375
Ir1 Ir 0.231 0.500 0.880


# 3
# PBE TbDyGe2Ir, relaxed
# - E_tot: -127.71 eV/cell
# - Magnetization: 0.0 μB per formula unit
data_TbDyGe2Ir
_chemical_formula_sum 'Tb4 Dy4 Ge8 Ir4'
_cell_length_a 10.564
_cell_length_b 4.311
_cell_length_c 10.348
_cell_angle_alpha 90.00
_cell_angle_beta 116.90
_cell_angle_gamma 90.00
_space_group_name_H-M_alt 'C 1 2/m 1'
_space_group_IT_number 12
loop_
_space_group_symop_operation_xyz
'x,y,z'
'-x,-y,-z'
'-x,y,-z'
'x,-y,z'
'x+1/2,y+1/2,z'
'-x+1/2,-y+1/2,-z'
'-x+1/2,y+1/2,-z'
'x+1/2,-y+1/2,z'
loop_
_atom_site_label
_atom_site_type_symbol
_atom_site_fract_x
_atom_site_fract_y
_atom_site_fract_z
Tb1 Tb 0.008 0.000 0.330
Dy1 Dy 0.190 0.000 0.118
Ge1 Ge 0.020 0.500 0.885
Ge2 Ge 0.147 0.500 0.553
Ir1 Ir 0.228 0.500 0.335


# 4
# PBE TbDyGe2Ir, relaxed
# - E_tot: -127.72 eV/cell
# - Magnetization: 0.0 μB per formula unit
data_TbDyGe2Ir
_chemical_formula_sum 'Tb4 Dy4 Ge8 Ir4'
_cell_length_a 10.549
_cell_length_b 4.309
_cell_length_c 10.339
_cell_angle_alpha 90.00
_cell_angle_beta 116.84
_cell_angle_gamma 90.00
_space_group_name_H-M_alt 'C 1 2/m 1'
_space_group_IT_number 12
loop_
_space_group_symop_operation_xyz
'x,y,z'
'-x,-y,-z'
'-x,y,-z'
'x,-y,z'
'x+1/2,y+1/2,z'
'-x+1/2,-y+1/2,-z'
'-x+1/2,y+1/2,-z'
'x+1/2,-y+1/2,z'
loop_
_atom_site_label
_atom_site_type_symbol
_atom_site_fract_x
_atom_site_fract_y
_atom_site_fract_z
Tb1 Tb 0.190 0.000 0.118
Dy1 Dy 0.008 0.000 0.330
Ge1 Ge 0.020 0.500 0.884
Ge2 Ge 0.147 0.500 0.553
Ir1 Ir 0.229 0.500 0.335


# 5
# PBE DyTmGe2Ir, relaxed
# - Offset from the most stable computed form: 0.000 eV/atom
# - Magnetization: 0.0 μB per formula unit
data_DyTmGe2Ir
_chemical_formula_sum 'Dy4 Tm4 Ge8 Ir4'
_cell_length_a 10.441
_cell_length_b 4.294
_cell_length_c 10.245
_cell_angle_alpha 90.00
_cell_angle_beta 116.62
_cell_angle_gamma 90.00
_space_group_name_H-M_alt 'C 1 2/m 1'
_space_group_IT_number 12
loop_
_space_group_symop_operation_xyz
'x,y,z'
'-x,-y,-z'
'-x,y,-z'
'x,-y,z'
'x+1/2,y+1/2,z'
'-x+1/2,-y+1/2,-z'
'-x+1/2,y+1/2,-z'
'x+1/2,-y+1/2,z'
loop_
_atom_site_label
_atom_site_type_symbol
_atom_site_fract_x
_atom_site_fract_y
_atom_site_fract_z
Dy1 Dy 0.190 0.000 0.118
Tm1 Tm 0.009 0.000 0.331
Ge1 Ge 0.021 0.500 0.884
Ge2 Ge 0.146 0.500 0.552
Ir1 Ir 0.229 0.500 0.336


# 6
# PBE DyTmGe2Ir, relaxed
# - Offset from the most stable computed form: 0.002 eV/atom
# - Magnetization: 0.0 μB per formula unit
data_DyTmGe2Ir
_chemical_formula_sum 'Dy4 Tm4 Ge8 Ir4'
_cell_length_a 10.476
_cell_length_b 4.290
_cell_length_c 10.260
_cell_angle_alpha 90.00
_cell_angle_beta 116.81
_cell_angle_gamma 90.00
_space_group_name_H-M_alt 'C 1 2/m 1'
_space_group_IT_number 12
loop_
_space_group_symop_operation_xyz
'x,y,z'
'-x,-y,-z'
'-x,y,-z'
'x,-y,z'
'x+1/2,y+1/2,z'
'-x+1/2,-y+1/2,-z'
'-x+1/2,y+1/2,-z'
'x+1/2,-y+1/2,z'
loop_
_atom_site_label
_atom_site_type_symbol
_atom_site_fract_x
_atom_site_fract_y
_atom_site_fract_z
Dy1 Dy 0.008 0.000 0.329
Tm1 Tm 0.190 0.000 0.119
Ge1 Ge 0.022 0.500 0.886
Ge2 Ge 0.147 0.500 0.553
Ir1 Ir 0.228 0.500 0.333